Entry 1:
4
Lattice="4.117 0.000 0.000 0.000 4.117 0.000 -2.058 -2.058 3.674" Properties=species:S:1:pos:R:3 comment="GGA-PBEsol TaPCl2, relaxed" e_tot_ry_per_atom=-0.381 e_form_raw_mev_per_atom=410 dos_ef_per_ev_atom=0.64 relative_energy_mev_per_atom=951.2 pbc="T T T"
Cl 2.058 0.000 1.837
Cl 0.000 2.058 1.837
P 2.058 2.058 0.000
Ta 0.000 0.000 0.000

=====

Entry 2:
3
Lattice="3.103 0.000 0.000 -1.551 2.687 0.000 0.000 0.000 6.205" Properties=species:S:1:pos:R:3 comment="GGA-PBEsol W2Au, relaxed" e_tot_ry_per_atom=-0.733 dos_ef_per_ev_atom=0.51 ef_ev_per_atom=0.534 pbc="T T T"
Au 0.000 0.000 0.000
W 1.551 0.896 3.982
W 0.000 1.791 2.223

=====

Entry 3:
5
Lattice="3.827 0.000 0.000 0.000 3.827 0.000 0.000 0.000 5.288" Properties=species:S:1:pos:R:3 comment="GGA-PBEsol PSeIO2, relaxed" e_tot_ry_per_atom=-0.316 e_form_raw_mev_per_atom=83 dos_ef_per_ev_atom=0.42 pbc="T T T"
I 1.913 1.913 2.644
P 0.000 0.000 2.644
O 0.000 1.913 0.000
O 1.913 0.000 0.000
Se 0.000 0.000 0.000

=====

Entry 4:
3
Lattice="-1.039 3.700 1.390 -1.785 0.382 3.656 2.057 1.664 3.115" Properties=species:S:1:pos:R:3 comment="GGA-PBEsol MnReRu, relaxed" e_tot_ry_per_atom=-0.755 dos_ef_per_ev_atom=1.31 ef_ev_per_atom=0.820 pbc="T T T"
Mn 0.000 0.000 0.000
Re -0.384 2.873 4.081
Ru -0.192 1.436 2.040

=====

Repeat the fourth record exactly.
3
Lattice="-1.039 3.700 1.390 -1.785 0.382 3.656 2.057 1.664 3.115" Properties=species:S:1:pos:R:3 comment="GGA-PBEsol MnReRu, relaxed" e_tot_ry_per_atom=-0.755 dos_ef_per_ev_atom=1.31 ef_ev_per_atom=0.820 pbc="T T T"
Mn 0.000 0.000 0.000
Re -0.384 2.873 4.081
Ru -0.192 1.436 2.040